Entry 1:
La4TlTc | GGA-PBE | relaxed

extended XYZ file:
```
12
Lattice="1.321 6.609 -4.550 -7.916 -1.777 0.544 0.969 2.512 5.892" Properties=species:S:1:pos:R:3 pbc="T T T"
La -0.391 7.142 -0.928
La -0.522 3.577 2.026
La 1.456 7.092 2.338
La -7.082 0.251 -0.451
La -5.235 0.201 2.814
La -5.104 3.766 -0.139
La -2.518 0.949 -0.087
La -3.108 6.394 1.974
Tc 1.540 7.215 -3.064
Tc -7.166 0.128 4.951
Tl -3.704 3.271 3.041
Tl -1.922 4.072 -1.155
```

## Properties
As for the total magnetization: 0.0 μB per formula unit. The value obtained for the total energy is -67.331 eV/cell.

***

Entry 2:
PuScW | GGA-PBE | relaxed

extended XYZ file:
```
3
Lattice="0.545 -4.429 0.037 -0.400 -2.266 3.824 -3.512 -2.676 0.652" Properties=species:S:1:pos:R:3 pbc="T T T"
Pu -0.842 -2.343 1.128
W -2.525 -7.028 3.385
Sc 0.000 0.000 0.000
```

## Properties
The calculation puts the formation enthalpy at 0 K at 1135.5 meV per atom. As for the total magnetization: 4.2 μB per formula unit.

***

Entry 3:
LaSi2GePt | GGA-PBE | relaxed

extended XYZ file:
```
5
Lattice="-2.213 2.213 4.915 2.213 -2.213 4.915 2.213 2.213 -4.915" Properties=species:S:1:pos:R:3 pbc="T T T"
Ge 0.000 0.000 0.137
La 0.000 0.000 4.089
Si 2.213 0.000 1.524
Si 0.000 2.213 1.524
Pt 0.000 0.000 7.442
```

## Properties
As for the total magnetization: 0.0 μB per formula unit. The value obtained for the total energy is -30.496 eV/cell.

***

Entry 4:
ZrReSi | GGA-PBE | relaxed

extended XYZ file:
```
9
Lattice="6.998 0.000 0.000 -3.499 6.060 0.000 0.000 0.000 3.443" Properties=species:S:1:pos:R:3 pbc="T T T"
Si 0.000 0.000 1.722
Si 3.499 2.020 0.000
Si 0.000 4.040 0.000
Zr 1.415 2.450 1.722
Zr 4.169 0.000 1.722
Zr -2.084 3.610 1.722
Re 2.611 4.522 0.000
Re -0.888 1.539 0.000
Re 1.777 0.000 0.000
```

## Properties
As for the total magnetization: 0.0 μB per formula unit. The value obtained for the total energy is -85.990 eV/cell.